EuInHg4 after structural relaxation. Source: the Alexandria database, functional PBE-GGA.

The structure in POSCAR format:
```
EuInHg4
1.0
6.1403 0.0000 0.0000
3.0701 5.3177 0.0000
3.0701 1.7726 5.0135
In Hg Eu
1 4 1
Cartesian
0.0000 0.0000 0.0000
6.1403 3.5451 0.6255
7.6763 4.4319 3.1338
6.1403 1.7715 3.1338
4.6043 4.4319 3.1338
3.0701 1.7726 1.2534
```

Calculated values
SG: F-43m, No. 216
Energy of formation in eV/atom: -0.183


NaSi2AsO6 after structural relaxation. Source: the Alexandria database, functional PBE-GGA.

The structure in POSCAR format:
```
NaSi2AsO6
1.0
5.4403 -0.0727 -0.0754
1.6599 6.7580 0.2764
1.6599 0.0257 6.7636
O Si As Na
12 4 2 2
Cartesian
3.7928 1.6085 6.6541
4.1120 5.8144 2.8932
6.8322 2.6394 5.8800
6.5130 6.5536 1.8163
4.6480 0.8967 4.0714
1.9279 4.0717 1.0847
2.4720 4.8521 4.8068
2.2471 0.1575 5.1483
3.5679 2.1238 1.9754
5.1922 4.5874 4.9892
6.2881 1.8590 2.1578
4.9673 5.1026 0.3105
6.6588 4.2285 5.6668
2.1013 2.4827 1.2978
3.9386 5.5425 4.4733
4.8214 1.1686 2.4913
3.0200 1.8374 4.9816
5.7401 4.8738 1.9830
3.0200 6.0762 0.8970
5.7401 0.6349 6.0676
```

Calculated values
SG: C2/c, No. 15
E_tot in eV/atom: -6.87